[1]
Ho3CdIn3AgIr | GGA-PBE | optimized geometry

Summary:
Final energy = -4.4028 eV per atom

Structure (extended XYZ):
```
9
Lattice="8.028 0.000 0.000 -4.014 6.952 0.000 0.000 0.000 3.725" Properties=species:S:1:pos:R:3 pbc="T T T"
Ho -0.802 2.579 0.000
Ho -1.380 6.358 0.000
Ho 2.182 4.968 0.000
Cd 0.000 0.000 1.863
In 1.840 2.275 1.863
In 5.138 0.456 1.863
In 5.064 4.222 1.863
Ag 4.014 2.317 0.000
Ir 0.000 4.635 1.863
```


[2]
Ho3CdIn3AgPd | GGA-PBE | optimized geometry

Summary:
Final energy = -3.9840 eV per atom

Structure (extended XYZ):
```
9
Lattice="7.913 0.000 0.000 -3.956 6.852 0.000 0.000 0.000 3.871" Properties=species:S:1:pos:R:3 pbc="T T T"
Ho -0.768 2.466 0.000
Ho -1.437 6.284 0.000
Ho 2.204 4.954 0.000
Cd 0.000 0.000 1.935
In 1.859 2.265 1.935
In 5.022 0.478 1.935
In 4.988 4.110 1.935
Ag 3.956 2.284 0.000
Pd 0.000 4.568 1.935
```


[3]
Ho3Mg3CdAgIr | GGA-PBE | optimized geometry

Summary:
Final energy = -3.8863 eV per atom

Structure (extended XYZ):
```
9
Lattice="7.843 0.000 0.000 -3.922 6.793 0.000 0.000 0.000 3.915" Properties=species:S:1:pos:R:3 pbc="T T T"
Ho -0.693 2.534 0.000
Ho -1.381 6.125 0.000
Ho 2.074 4.926 0.000
Mg 1.928 2.253 1.957
Mg 4.928 0.543 1.957
Mg 4.909 3.996 1.957
Cd 0.000 0.000 1.957
Ag 3.922 2.264 0.000
Ir 0.000 4.528 1.957
```